Compound: PuCu2IO8
Source: Alexandria
Functional: PBE
Structure: optimized geometry

## Properties
The crystal system is tetragonal. As for the raw total energy: -6.201 eV/atom. As for the energy relative to the elements, uncorrected: -0.8893 eV/atom. The density of states at the Fermi level comes out at 0.83 states/eV per atom.

a b c (Å): 6.5183 6.5183 6.9804
angles (deg): 90.00 90.00 90.00
Space group I-4m2 (No. 119)
Unique sites:
Pu  0.0000  0.0000  0.0000 x2
Cu  0.0000  0.0000  0.5000 x2
Cu  0.0000  0.5000  0.7500 x2
I  0.0000  0.5000  0.2500 x2
O  0.0000  0.1909  0.2968 x8
O  0.0000  0.3114  0.9640 x8